(1)
DFT (PBE-GGA) results for a relaxed structure of La4Pm3Y2.

extended XYZ file:
```
9
Lattice="-3.5349 -4.0747 -3.3711 3.7877 -2.1333 4.6340 -8.3246 9.8532 2.7393" Properties=species:S:1:pos:R:3 pbc="T T T"
Y -3.4260 -1.0738 0.8833
Y -4.6458 4.7191 3.1189
Pm 0.0000 0.0000 0.0000
Pm -7.0850 4.0607 0.4625
La 1.3369 -2.7807 1.9554
La -2.3333 2.3567 1.5777
Pm -0.9868 -0.4155 3.5397
La -9.4087 6.4259 2.0468
La -5.7385 1.2886 2.4244
```

Computed properties:
N(E_F): 14.96 states/eV/cell
Offset from the most stable computed form: 0.000 eV per atom
Formation enthalpy at 0 K: 0.02 eV/atom
V: 315.6 Å³ per cell

(2)
DFT (PBE-GGA) results for a relaxed structure of CaCr2Ru.

extended XYZ file:
```
4
Lattice="-2.6296 1.4839 0.2259 -1.1916 -2.3410 1.5059 2.3970 3.2012 6.8731" Properties=species:S:1:pos:R:3 pbc="T T T"
Ca -0.1129 1.9724 6.0208
Cr 1.0520 1.4049 3.0165
Cr 0.1465 0.1957 0.4201
Ru -1.3114 0.3718 2.5842
```

Computed properties:
N(E_F): 3.16 states/eV/cell
Offset from the most stable computed form: 0.144 eV per atom
Formation enthalpy at 0 K: 0.52 eV/atom
V: 72.9 Å³ per cell

Q: N(E_F) of number 2 (CaCr2Ru)?
A: 3.16 states/eV/cell

Repeat the first record exactly.
DFT (PBE-GGA) results for a relaxed structure of La4Pm3Y2.

extended XYZ file:
```
9
Lattice="-3.5349 -4.0747 -3.3711 3.7877 -2.1333 4.6340 -8.3246 9.8532 2.7393" Properties=species:S:1:pos:R:3 pbc="T T T"
Y -3.4260 -1.0738 0.8833
Y -4.6458 4.7191 3.1189
Pm 0.0000 0.0000 0.0000
Pm -7.0850 4.0607 0.4625
La 1.3369 -2.7807 1.9554
La -2.3333 2.3567 1.5777
Pm -0.9868 -0.4155 3.5397
La -9.4087 6.4259 2.0468
La -5.7385 1.2886 2.4244
```

Computed properties:
N(E_F): 14.96 states/eV/cell
Offset from the most stable computed form: 0.000 eV per atom
Formation enthalpy at 0 K: 0.02 eV/atom
V: 315.6 Å³ per cell